[1]
A plane-wave DFT calculation with meta-GGA SCAN was carried out for a PBEsol-optimized structure of VCl3O.

CIF file:
```
data_VCl3O
_chemical_formula_sum 'V4 Cl12 O4'
_space_group_name_H-M_alt 'P n m a'
_space_group_IT_number 62
_cell_length_a 4.779
_cell_length_b 9.647
_cell_length_c 11.828
_cell_angle_alpha 90.00
_cell_angle_beta 90.00
_cell_angle_gamma 90.00
loop_
_space_group_symop_operation_xyz
'x,y,z'
'-x,-y,-z'
'-x+1/2,-y,z+1/2'
'x+1/2,y,-z+1/2'
'x+1/2,-y+1/2,-z+1/2'
'-x+1/2,y+1/2,z+1/2'
'-x,y+1/2,-z'
'x,-y+1/2,z'
loop_
_atom_site_label
_atom_site_type_symbol
_atom_site_fract_x
_atom_site_fract_y
_atom_site_fract_z
V1 V 0.143 0.250 0.043
Cl1 Cl 0.225 0.567 0.628
Cl2 Cl 0.234 0.750 0.370
O1 O 0.187 0.750 0.955
```

Output
Energy relative to the elements, uncorrected (eV/atom): -1.569
Magnetization (μB per atom): 0.000

[2]
A plane-wave DFT calculation with meta-GGA SCAN was carried out for a PBEsol-optimized structure of CdSbAs.

CIF file:
```
data_CdSbAs
_chemical_formula_sum 'Cd1 Sb1 As1'
_space_group_name_H-M_alt 'P 3 m 1'
_space_group_IT_number 156
_cell_length_a 3.1741
_cell_length_b 3.1741
_cell_length_c 7.6893
_cell_angle_alpha 90.00
_cell_angle_beta 90.00
_cell_angle_gamma 120.00
loop_
_space_group_symop_operation_xyz
'x,y,z'
'-y,x-y,z'
'-x+y,-x,z'
'-y,-x,z'
'-x+y,y,z'
'x,x-y,z'
loop_
_atom_site_label
_atom_site_type_symbol
_atom_site_fract_x
_atom_site_fract_y
_atom_site_fract_z
Cd1 Cd 0.0000 0.0000 0.0000
Sb1 Sb 0.3333 0.6667 0.6512
As1 As 0.6667 0.3333 0.2997
```

Output
Energy relative to the elements, uncorrected (eV/atom): 0.345
Energy above the most stable polymorph in this dataset (meV per atom): 109.4
Magnetization (μB per atom): 0.000

[3]
A plane-wave DFT calculation with meta-GGA SCAN was carried out for a PBEsol-optimized structure of TaTl2Mo.

CIF file:
```
data_TaTl2Mo
_chemical_formula_sum 'Ta2 Tl4 Mo2'
_space_group_name_H-M_alt 'C 1 2/m 1'
_space_group_IT_number 12
_cell_length_a 5.895
_cell_length_b 9.562
_cell_length_c 2.981
_cell_angle_alpha 90.00
_cell_angle_beta 113.10
_cell_angle_gamma 90.00
loop_
_space_group_symop_operation_xyz
'x,y,z'
'-x,-y,-z'
'-x,y,-z'
'x,-y,z'
'x+1/2,y+1/2,z'
'-x+1/2,-y+1/2,-z'
'-x+1/2,y+1/2,-z'
'x+1/2,-y+1/2,z'
loop_
_atom_site_label
_atom_site_type_symbol
_atom_site_fract_x
_atom_site_fract_y
_atom_site_fract_z
Ta1 Ta 0.000 0.000 0.000
Tl1 Tl 0.250 0.250 0.500
Mo1 Mo 0.000 0.500 0.000
```

Output
Energy above the most stable polymorph in this dataset (meV per atom): 0.0
Magnetization (μB per atom): 0.000
ΔE_f (eV per formula unit): 2.80

[4]
A plane-wave DFT calculation with meta-GGA SCAN was carried out for a PBEsol-optimized structure of EuCuO2.

CIF file:
```
data_EuCuO2
_chemical_formula_sum 'Eu3 Cu3 O6'
_space_group_name_H-M_alt 'R -3 m'
_space_group_IT_number 166
_space_group_name_Hall '-R 3 2"'
_cell_length_a 3.6432
_cell_length_b 3.6432
_cell_length_c 16.8756
_cell_angle_alpha 90.00
_cell_angle_beta 90.00
_cell_angle_gamma 120.00
loop_
_atom_site_label
_atom_site_type_symbol
_atom_site_fract_x
_atom_site_fract_y
_atom_site_fract_z
Eu1 Eu 0.0000 0.0000 0.0000
Cu1 Cu 0.0000 0.0000 0.5000
O1 O 0.0000 0.0000 0.3948
```

Output
Energy relative to the elements, uncorrected (eV/atom): -2.111
Magnetization (μB per atom): 1.500

[5]
A plane-wave DFT calculation with meta-GGA SCAN was carried out for a PBEsol-optimized structure of CrAgRu.

CIF file:
```
data_CrAgRu
_chemical_formula_sum 'Cr4 Ag4 Ru4'
_space_group_name_H-M_alt 'F -4 3 m'
_space_group_IT_number 216
_space_group_name_Hall 'F -4 2 3'
_cell_length_a 5.757
_cell_length_b 5.757
_cell_length_c 5.757
_cell_angle_alpha 90.00
_cell_angle_beta 90.00
_cell_angle_gamma 90.00
loop_
_atom_site_label
_atom_site_type_symbol
_atom_site_fract_x
_atom_site_fract_y
_atom_site_fract_z
Cr1 Cr 0.000 0.000 0.000
Ag1 Ag 0.250 0.250 0.250
Ru1 Ru 0.250 0.250 0.750
```

Output
Magnetization (μB per atom): 0.725
ΔE_f (eV per formula unit): 2.13

[6]
A plane-wave DFT calculation with meta-GGA SCAN was carried out for a PBEsol-optimized structure of Tc2SbAu.

CIF file:
```
data_Tc2SbAu
_chemical_formula_sum 'Tc4 Sb2 Au2'
_space_group_name_H-M_alt 'I -4 m 2'
_space_group_IT_number 119
_space_group_name_Hall 'I -4 -2'
_cell_length_a 3.990
_cell_length_b 3.990
_cell_length_c 8.055
_cell_angle_alpha 90.00
_cell_angle_beta 90.00
_cell_angle_gamma 90.00
loop_
_atom_site_label
_atom_site_type_symbol
_atom_site_fract_x
_atom_site_fract_y
_atom_site_fract_z
Tc1 Tc 0.000 0.000 0.000
Tc2 Tc 0.000 0.500 0.250
Sb1 Sb 0.000 0.500 0.750
Au1 Au 0.000 0.000 0.500
```

Output
Energy relative to the elements, uncorrected (eV/atom): 0.374
Magnetization (μB per atom): 0.000

[7]
A plane-wave DFT calculation with meta-GGA SCAN was carried out for a PBEsol-optimized structure of InSiAg2.

CIF file:
```
data_InSiAg2
_chemical_formula_sum 'In2 Si2 Ag4'
_space_group_name_H-M_alt 'C m m m'
_space_group_IT_number 65
_space_group_name_Hall '-C 2 2'
_cell_length_a 5.819
_cell_length_b 8.387
_cell_length_c 2.923
_cell_angle_alpha 90.00
_cell_angle_beta 90.00
_cell_angle_gamma 90.00
loop_
_atom_site_label
_atom_site_type_symbol
_atom_site_fract_x
_atom_site_fract_y
_atom_site_fract_z
In1 In 0.000 0.000 0.000
Si1 Si 0.000 0.500 0.000
Ag1 Ag 0.250 0.250 0.500
```

Output
Energy relative to the elements, uncorrected (eV/atom): 0.296
Magnetization (μB per atom): 0.000

[8]
A plane-wave DFT calculation with meta-GGA SCAN was carried out for a PBEsol-optimized structure of Co3SbRh.

CIF file:
```
data_Co3SbRh
_chemical_formula_sum 'Co3 Sb1 Rh1'
_space_group_name_H-M_alt 'P m -3 m'
_space_group_IT_number 221
_space_group_name_Hall '-P 4 2 3'
_cell_length_a 4.460
_cell_length_b 4.460
_cell_length_c 4.460
_cell_angle_alpha 90.00
_cell_angle_beta 90.00
_cell_angle_gamma 90.00
loop_
_atom_site_label
_atom_site_type_symbol
_atom_site_fract_x
_atom_site_fract_y
_atom_site_fract_z
Co1 Co 0.000 0.000 0.500
Sb1 Sb 0.500 0.500 0.500
Rh1 Rh 0.000 0.000 0.000
```

Output
Energy relative to the elements, uncorrected (eV/atom): 1.099
Magnetization (μB per atom): 1.480

[9]
A plane-wave DFT calculation with meta-GGA SCAN was carried out for a PBEsol-optimized structure of Nb6Fe16Si7.

CIF file:
```
data_Nb6Fe16Si7
_chemical_formula_sum 'Nb24 Fe64 Si28'
_space_group_name_H-M_alt 'F m -3 m'
_space_group_IT_number 225
_space_group_name_Hall '-F 4 2 3'
_cell_length_a 11.106
_cell_length_b 11.106
_cell_length_c 11.106
_cell_angle_alpha 90.00
_cell_angle_beta 90.00
_cell_angle_gamma 90.00
loop_
_atom_site_label
_atom_site_type_symbol
_atom_site_fract_x
_atom_site_fract_y
_atom_site_fract_z
Nb1 Nb 0.000 0.000 0.205
Fe1 Fe 0.120 0.120 0.380
Fe2 Fe 0.174 0.174 0.174
Si1 Si 0.000 0.000 0.500
Si2 Si 0.000 0.250 0.250
```

Output
Energy relative to the elements, uncorrected (eV/atom): -0.303
Magnetization (μB per atom): 0.001

[10]
A plane-wave DFT calculation with meta-GGA SCAN was carried out for a PBEsol-optimized structure of Mn2PtPb.

CIF file:
```
data_Mn2PtPb
_chemical_formula_sum 'Mn8 Pt4 Pb4'
_space_group_name_H-M_alt 'F -4 3 m'
_space_group_IT_number 216
_space_group_name_Hall 'F -4 2 3'
_cell_length_a 6.383
_cell_length_b 6.383
_cell_length_c 6.383
_cell_angle_alpha 90.00
_cell_angle_beta 90.00
_cell_angle_gamma 90.00
loop_
_atom_site_label
_atom_site_type_symbol
_atom_site_fract_x
_atom_site_fract_y
_atom_site_fract_z
Mn1 Mn 0.000 0.000 0.000
Mn2 Mn 0.250 0.250 0.250
Pt1 Pt 0.000 0.000 0.500
Pb1 Pb 0.250 0.250 0.750
```

Output
Magnetization (μB per atom): 2.161
ΔE_f (eV per formula unit): -0.30

[11]
A plane-wave DFT calculation with meta-GGA SCAN was carried out for a PBEsol-optimized structure of V2CrO7.

CIF file:
```
data_V2CrO7
_chemical_formula_sum 'V8 Cr4 O28'
_space_group_name_H-M_alt 'P a -3'
_space_group_IT_number 205
_space_group_name_Hall '-P 2ac 2ab 3'
_cell_length_a 8.411
_cell_length_b 8.411
_cell_length_c 8.411
_cell_angle_alpha 90.00
_cell_angle_beta 90.00
_cell_angle_gamma 90.00
loop_
_atom_site_label
_atom_site_type_symbol
_atom_site_fract_x
_atom_site_fract_y
_atom_site_fract_z
V1 V 0.121 0.121 0.121
Cr1 Cr 0.000 0.000 0.500
O1 O 0.000 0.000 0.000
O2 O 0.064 0.188 0.598
```

Output
Energy relative to the elements, uncorrected (eV/atom): -2.371
Magnetization (μB per atom): 0.200

[12]
A plane-wave DFT calculation with meta-GGA SCAN was carried out for a PBEsol-optimized structure of CsSc2Zn.

CIF file:
```
data_CsSc2Zn
_chemical_formula_sum 'Cs3 Sc6 Zn3'
_space_group_name_H-M_alt 'R -3 m'
_space_group_IT_number 166
_space_group_name_Hall '-R 3 2"'
_cell_length_a 3.3924
_cell_length_b 3.3924
_cell_length_c 32.5505
_cell_angle_alpha 90.00
_cell_angle_beta 90.00
_cell_angle_gamma 120.00
loop_
_atom_site_label
_atom_site_type_symbol
_atom_site_fract_x
_atom_site_fract_y
_atom_site_fract_z
Cs1 Cs 0.0000 0.0000 0.0000
Sc1 Sc 0.0000 0.0000 0.1054
Zn1 Zn 0.0000 0.0000 0.5000
```

Output
Magnetization (μB per atom): 0.019
ΔE_f (eV per formula unit): 1.19

| no. | DFT total energy (eV for the cell shown) |
| --- | --- |
| 1 | -221.99 |
| 2 | -86.83 |
| 3 | -486.77 |
| 4 | -269.45 |
| 5 | -329.78 |
| 6 | -350.09 |
| 7 | -209.90 |
| 8 | -117.45 |
| 9 | -2271.01 |
| 10 | -731.15 |
| 11 | -482.75 |
| 12 | -235.83 |